The following is a DFT calculation (PBE+U) of a geometry-optimized Cs3Nd3VO8 structure.

Energy   -6.64 eV per atom
Total magnetic moment   1.0 μB per formula unit
Calculated volume   20.148 Å³/atom
Calculated density   5551 kg/m³

abc: 8.0742 8.0742 8.0742
angles: 52.00 52.00 52.00
Fractional positions:
Cs 0.0000 0.5000 0.5000
Cs 0.5000 0.0000 0.5000
Cs 0.5000 0.5000 0.0000
Nd 0.0000 0.0000 0.5000
Nd 0.0000 0.5000 0.0000
Nd 0.5000 0.0000 0.0000
V 0.5000 0.5000 0.5000
O 0.2230 0.2230 0.2230
O 0.2608 0.6957 0.6957
O 0.3043 0.3043 0.7392
O 0.3043 0.7392 0.3043
O 0.6957 0.2608 0.6957
O 0.6957 0.6957 0.2608
O 0.7392 0.3043 0.3043
O 0.7770 0.7770 0.7770